No. 1
Below is a relaxed structure of SmDy2Ho5Th, with properties calculated at the PBE-GGA level.

## Properties
The calculation puts the spin magnetization at 0.00 μB per formula unit. The calculation puts the energy of formation from the pure elements at 2.8 eV/f.u. The calculation puts the raw total energy at -82.769 eV for the cell shown. Its calculated volume is 31.9 Å³ per atom.

```
18
Lattice="-4.384 4.384 7.474 4.384 -4.384 7.474 4.384 4.384 -7.474" Properties=species:S:1:pos:R:3 pbc="T T T"
Sm 4.384 0.000 3.737
Sm 0.000 4.384 3.737
Dy 5.387 1.003 0.000
Dy 1.003 3.380 0.000
Dy 3.380 1.003 7.474
Dy -1.003 3.380 7.474
Ho 0.000 0.000 0.000
Ho 2.557 1.827 -2.037
Ho 2.557 -1.827 5.437
Ho 2.557 1.827 2.037
Ho 2.557 -1.827 9.511
Ho 0.000 0.000 7.474
Ho 1.827 6.210 -2.037
Ho 1.827 2.557 5.437
Ho 1.827 6.210 2.037
Ho 1.827 2.557 9.511
Th 0.000 0.000 3.737
Th 0.000 0.000 11.211
```



No. 2
Below is a relaxed structure of SmDy6Ho2Th, with properties calculated at the PBE-GGA level.

## Properties
The calculation puts the spin magnetization at 0.00 μB per formula unit. The calculation puts the energy of formation from the pure elements at 1.5 eV/f.u. The calculation puts the raw total energy at -94.907 eV for the cell shown. Its calculated volume is 32.3 Å³ per atom.

```
20
Lattice="4.557 -7.462 0.000 4.557 7.462 0.000 -1.273 0.000 9.502" Properties=species:S:1:pos:R:3 pbc="T T T"
Sm 3.602 7.092 7.127
Sm 4.238 -7.092 2.376
Dy 1.838 4.095 6.502
Dy 3.886 4.682 0.562
Dy 4.591 4.682 4.189
Dy 2.545 1.574 8.376
Dy 5.366 4.095 7.752
Dy 4.659 1.574 5.877
Dy 3.181 -1.574 3.625
Dy 2.475 -4.095 1.751
Dy 5.296 -1.574 1.126
Dy 3.249 -4.682 5.313
Dy 3.955 -4.682 8.941
Dy 6.002 -4.095 3.001
Ho 1.535 0.765 5.191
Ho 2.171 -0.765 0.440
Ho 5.669 0.765 9.062
Ho 6.306 -0.765 4.311
Th 4.238 1.399 2.376
Th 3.602 -1.399 7.127
```



No. 3
Below is a relaxed structure of Sm5DyHo2Th, with properties calculated at the PBE-GGA level.

## Properties
The calculation puts the spin magnetization at 0.00 μB per formula unit. The calculation puts the energy of formation from the pure elements at 1.4 eV/f.u. The calculation puts the raw total energy at -86.700 eV for the cell shown. Its calculated volume is 33.6 Å³ per atom.

```
18
Lattice="2.818 -10.179 0.000 2.818 10.179 0.000 0.000 0.000 10.538" Properties=species:S:1:pos:R:3 pbc="T T T"
Sm 2.818 9.877 5.269
Sm 2.818 4.548 8.353
Sm 2.818 4.181 1.950
Sm 2.818 2.282 5.336
Sm 2.818 0.412 2.355
Sm 2.818 -0.412 7.624
Sm 2.818 -2.282 0.067
Sm 2.818 -4.181 7.219
Sm 2.818 -4.548 3.084
Sm 2.818 -9.877 0.000
Dy 2.818 1.891 9.854
Dy 2.818 -1.891 4.585
Ho 2.818 7.890 2.283
Ho 2.818 7.835 8.371
Ho 2.818 -7.835 3.102
Ho 2.818 -7.890 7.552
Th 2.818 6.129 5.189
Th 2.818 -6.129 10.458
```



No. 4
Below is a relaxed structure of SmDy2Ho4Th, with properties calculated at the PBE-GGA level.

## Properties
The calculation puts the spin magnetization at 0.00 μB per formula unit. The calculation puts the energy of formation from the pure elements at 0.2 eV/f.u. The calculation puts the raw total energy at -39.419 eV for the cell shown. Its calculated volume is 31.7 Å³ per atom.

```
8
Lattice="5.032 0.000 0.000 0.000 5.044 0.000 -0.007 0.000 9.980" Properties=species:S:1:pos:R:3 pbc="T T T"
Sm 0.000 0.000 0.000
Dy -0.004 0.000 4.990
Dy 2.516 2.522 0.000
Ho 5.030 2.522 2.524
Ho -0.005 2.522 7.456
Ho 2.513 0.000 2.528
Ho 2.512 0.000 7.452
Th 2.512 2.522 4.990
```